Density functional theory data (PBE+U) for crystalline MnGaPO2 at its relaxed geometry.

Unit cell a=3.732 b=3.732 c=5.409 alpha=90.00 beta=90.00 gamma=90.00
Space group P4/mmm (No. 123)
Symmetry-distinct sites (fractional):
Mn: 0.000 0.000 0.000 (multiplicity 1)
Ga: 0.500 0.500 0.500 (multiplicity 1)
P: 0.500 0.500 0.000 (multiplicity 1)
O: 0.000 0.500 0.500 (multiplicity 2)

Uncorrected energy in eV/f.u.: -27.6